Record 1
Computed, not measured: HfTi2 after structural relaxation at the GGA-PBE level of DFT.

Structure (POSCAR):
```
HfTi2
1.0
4.7314 0.0000 -0.9076
0.0000 3.2360 0.0000
-0.9837 0.0000 7.6581
Hf Ti
2 4
Direct
0.4633 0.5000 0.9266
0.6478 0.0000 0.2956
0.1278 0.5000 0.2556
0.2877 0.0000 0.5753
0.8234 0.5000 0.6469
0.9833 0.0000 0.9666
```

Values from the calculation:
DOS at the Fermi energy (states/eV per atom): 1.644
Total energy (Ha/atom): -0.3111
Space group: Cmcm (63)

Record 2
Computed, not measured: Cu2ReRhN after structural relaxation at the GGA-PBE level of DFT.

Structure (POSCAR):
```
Cu2ReRhN
1.0
-3.3423 -2.3421 2.2663
1.7650 -3.9914 -1.5220
2.7284 -0.2351 3.7806
Cu N Re Rh
2 1 1 1
Direct
0.0000 0.0000 0.5000
0.5000 0.0000 0.0000
0.5000 0.5000 0.5000
0.0000 0.0000 0.0000
0.0000 0.5000 0.0000
```

Values from the calculation:
DOS at the Fermi energy (states/eV per atom): 1.334
Total energy (Ha/atom): -0.1736
Formation energy without anion corrections (eV/atom): 2.540
Space group: P4/mmm (123)

Record 3
Computed, not measured: TlZn3Ge after structural relaxation at the GGA-PBE level of DFT.

Structure (POSCAR):
```
TlZn3Ge
1.0
-1.3169 -2.3043 -4.3982
-1.4970 -4.1543 2.6247
-4.7342 1.9546 0.3935
Zn Ge Tl
3 1 1
Direct
0.0000 0.0000 0.5000
0.0000 0.5000 0.0000
0.5000 0.0000 0.0000
0.5000 0.5000 0.5000
0.0000 0.0000 0.0000
```

Values from the calculation:
DOS at the Fermi energy (states/eV per atom): 0.549
Total energy (Ha/atom): -0.0484
Space group: Pm-3m (221)

Record 4
Computed, not measured: P2Ru2SeN after structural relaxation at the GGA-PBE level of DFT.

Structure (POSCAR):
```
P2Ru2SeN
1.0
6.3096 0.0000 0.0000
0.0000 2.9126 0.0000
0.0000 0.0000 9.1937
N Se Ru P
2 2 4 4
Direct
0.5000 0.5000 0.0717
0.0000 0.0000 0.5717
0.5000 0.0000 0.3945
0.0000 0.5000 0.8945
0.7752 0.5000 0.2650
0.2752 0.0000 0.7650
0.7248 0.0000 0.7650
0.2248 0.5000 0.2650
0.0000 0.0000 0.1374
0.0000 0.5000 0.4620
0.5000 0.5000 0.6374
0.5000 0.0000 0.9620
```

Values from the calculation:
DOS at the Fermi energy (states/eV per atom): 0.367
Total energy (Ha/atom): -0.2565
Formation energy without anion corrections (eV/atom): -0.115
Space group: Imm2 (44)

Record 5
Computed, not measured: Zn2TcSe after structural relaxation at the GGA-PBE level of DFT.

Structure (POSCAR):
```
Zn2TcSe
1.0
2.7805 0.0000 0.0000
0.0000 2.7805 0.0000
0.0000 0.0000 8.9324
Zn Se Tc
2 1 1
Direct
0.0000 0.0000 0.5429
0.0000 0.0000 0.9571
0.5000 0.5000 0.2500
0.5000 0.5000 0.7500
```

Values from the calculation:
DOS at the Fermi energy (states/eV per atom): 0.664
Total energy (Ha/atom): -0.1412
Formation energy without anion corrections (eV/atom): 0.257
Space group: P4/mmm (123)

Record 6
Computed, not measured: K4AlTe4 after structural relaxation at the GGA-PBE level of DFT.

Structure (POSCAR):
```
K4AlTe4
1.0
7.4265 0.0000 0.0000
0.0000 9.9844 0.0000
0.0000 0.0000 9.9844
K Te Al
8 8 2
Direct
0.3293 0.2675 0.9995
0.1707 0.7675 0.4995
0.6707 0.9995 0.7325
0.1707 0.2325 0.5005
0.8293 0.4995 0.2325
0.3293 0.7325 0.0005
0.6707 0.0005 0.2675
0.8293 0.5005 0.7675
0.6871 0.7240 0.4993
0.1871 0.9993 0.7760
0.3129 0.5007 0.7240
0.6871 0.2760 0.5007
0.3129 0.4993 0.2760
0.8129 0.2240 0.9993
0.1871 0.0007 0.2240
0.8129 0.7760 0.0007
0.0000 0.0000 0.0000
0.5000 0.5000 0.5000
```

Values from the calculation:
DOS at the Fermi energy (states/eV per atom): 1.129
Total energy (Ha/atom): -0.1160
Formation energy without anion corrections (eV/atom): -0.856
Space group: P4_2/n (86)

Record 7
Computed, not measured: NdPaTe after structural relaxation at the GGA-PBE level of DFT.

Structure (POSCAR):
```
NdPaTe
1.0
-0.8326 -0.5049 -3.5917
3.3329 -1.0233 1.2990
-5.3960 -13.5660 3.1578
Pa Te Nd
2 2 2
Direct
0.2777 0.5555 0.5000
0.6118 0.2235 0.0000
0.6110 0.2221 0.3492
0.6110 0.2221 0.6508
0.2775 0.5550 0.8117
0.2775 0.5550 0.1883
```

Values from the calculation:
DOS at the Fermi energy (states/eV per atom): 1.621
Total energy (Ha/atom): -0.2275
Formation energy without anion corrections (eV/atom): -0.390
Space group: Amm2 (38)

Record 8
Computed, not measured: Hf2SiS2 after structural relaxation at the GGA-PBE level of DFT.

Structure (POSCAR):
```
Hf2SiS2
1.0
-0.3484 -2.7576 0.6194
1.6657 -0.7045 -2.1996
11.6504 0.4758 8.6703
Hf S Si
2 2 1
Direct
0.5000 0.5000 0.8139
0.5000 0.5000 0.1861
0.5000 0.5000 0.3558
0.5000 0.5000 0.6442
0.5000 0.5000 0.0000
```

Values from the calculation:
DOS at the Fermi energy (states/eV per atom): 0.959
Total energy (Ha/atom): -0.2315
Formation energy without anion corrections (eV/atom): 0.417
Space group: P4/mmm (123)

Record 9
Computed, not measured: GaSe2Br after structural relaxation at the GGA-PBE level of DFT.

Structure (POSCAR):
```
GaSe2Br
1.0
0.4167 -4.6246 8.4110
3.1533 -6.2740 6.5574
3.7650 -3.0689 8.2893
Se Ga Br
2 1 1
Direct
0.9193 0.9193 0.9193
0.0807 0.0807 0.0807
0.0000 0.0000 0.0000
0.5000 0.5000 0.5000
```

Values from the calculation:
DOS at the Fermi energy (states/eV per atom): 1.074
Total energy (Ha/atom): -0.0941
Formation energy without anion corrections (eV/atom): 0.357
Space group: R-3m (166)

Record 10
Computed, not measured: KLi2VCd after structural relaxation at the GGA-PBE level of DFT.

Structure (POSCAR):
```
KLi2VCd
1.0
5.2200 0.0000 0.0000
0.0000 6.0636 0.0000
0.0000 0.0000 5.2200
Li V K Cd
2 1 1 1
Direct
0.0000 0.0000 0.5000
0.5000 0.0000 0.0000
0.5000 0.5000 0.5000
0.0000 0.5000 0.0000
0.0000 0.0000 0.0000
```

Values from the calculation:
DOS at the Fermi energy (states/eV per atom): 1.386
Total energy (Ha/atom): -0.0675
Space group: P4/mmm (123)

Record 11
Computed, not measured: PdAuN3 after structural relaxation at the GGA-PBE level of DFT.

Structure (POSCAR):
```
PdAuN3
1.0
4.0148 0.0000 0.0000
0.0000 4.0148 0.0000
0.0000 0.0000 4.0148
N Pd Au
3 1 1
Direct
0.5000 0.0000 0.0000
0.0000 0.0000 0.5000
0.0000 0.5000 0.0000
0.0000 0.0000 0.0000
0.5000 0.5000 0.5000
```

Values from the calculation:
DOS at the Fermi energy (states/eV per atom): 0.498
Total energy (Ha/atom): -0.1635
Formation energy without anion corrections (eV/atom): 2.239
Space group: Pm-3m (221)

Record 12
Computed, not measured: Hg12Se5Br3 after structural relaxation at the GGA-PBE level of DFT.

Structure (POSCAR):
```
Hg12Se5Br3
1.0
15.1306 0.0000 0.0000
-5.0435 14.2653 0.0000
-5.0435 -7.1326 12.3541
Hg Se Br
48 20 12
Direct
0.5552 0.5783 0.3690
0.6310 0.7093 0.6862
0.2907 0.9217 0.9769
0.2093 0.6862 0.1310
0.5783 0.0231 0.2093
0.8138 0.9448 0.0231
0.7907 0.3138 0.8690
0.7093 0.6310 0.1862
0.1310 0.1862 0.2093
0.8138 0.8690 0.2907
0.4217 0.9769 0.7907
0.6310 0.9217 0.4448
0.4448 0.0231 0.3138
0.0552 0.1862 0.4769
0.9217 0.2907 0.4769
0.1862 0.1310 0.7093
0.0552 0.8690 0.0783
0.4769 0.6862 0.0552
0.0231 0.4448 0.8138
0.9769 0.5552 0.1862
0.9448 0.1310 0.9217
0.9217 0.6310 0.9448
0.8690 0.0552 0.5783
0.9448 0.8138 0.5231
0.3138 0.7907 0.3690
0.3690 0.2907 0.3138
0.5552 0.9769 0.6862
0.6862 0.4769 0.5552
0.7093 0.0783 0.0231
0.0231 0.5783 0.7093
0.3138 0.5231 0.4448
0.2907 0.3690 0.8138
0.5231 0.2093 0.0783
0.9769 0.4217 0.2907
0.5231 0.3138 0.9448
0.4448 0.4217 0.6310
0.5783 0.5552 0.8690
0.3690 0.0783 0.5552
0.4217 0.4448 0.1310
0.0783 0.3690 0.0552
0.1310 0.9448 0.4217
0.7907 0.4769 0.4217
0.0783 0.7093 0.5231
0.1862 0.0552 0.9769
0.8690 0.8138 0.7907
0.4769 0.7907 0.9217
0.2093 0.5231 0.5783
0.6862 0.2093 0.6310
0.1250 0.7500 0.3750
0.0000 0.5000 0.5000
0.8750 0.2500 0.6250
0.0000 0.0000 0.0000
0.6250 0.7500 0.8750
0.3750 0.2500 0.1250
0.3750 0.1250 0.7500
0.0000 0.0000 0.5000
0.0000 0.5000 0.0000
0.1250 0.3750 0.2500
0.2500 0.3750 0.6250
0.7500 0.1250 0.8750
0.7500 0.6250 0.3750
0.5000 0.5000 0.5000
0.5000 0.5000 0.0000
0.6250 0.8750 0.2500
0.8750 0.6250 0.7500
0.5000 0.0000 0.5000
0.2500 0.8750 0.1250
0.5000 0.0000 0.0000
0.1250 0.8750 0.7500
0.8750 0.1250 0.2500
0.1250 0.2500 0.8750
0.6250 0.3750 0.7500
0.8750 0.7500 0.1250
0.2500 0.1250 0.3750
0.6250 0.2500 0.3750
0.2500 0.6250 0.8750
0.3750 0.7500 0.6250
0.7500 0.8750 0.6250
0.7500 0.3750 0.1250
0.3750 0.6250 0.2500
```

Values from the calculation:
DOS at the Fermi energy (states/eV per atom): 0.316
Total energy (Ha/atom): -0.0486
Formation energy without anion corrections (eV/atom): -0.020
Space group: Ia-3d (230)